A plane-wave DFT calculation with GGA-PBE was carried out for an optimized crystal structure of CeNd12Y2.

Values from the calculation:
Energy of formation from the pure elements   0.116 eV/atom
Space group   Pmmm (47)
Size of the total moment   1.2 μB per formula unit
Density of states at the Fermi level   53.620 states/eV/cell

Lattice parameters (Å, degrees): 6.965 6.965 24.338 90.00 90.00 63.68
Site moments in Bohr magnetons follow the coordinates.
Fractional coordinates of all 30 atoms:
1 Ce 0.500 0.000 0.000  0.87
2 Ce 0.000 0.500 0.000  0.87
3 Nd 0.500 0.500 0.934  0.01
4 Nd 0.000 0.000 0.934  0.01
5 Nd 0.750 0.750 0.146  0.01
6 Nd 0.250 0.750 0.192  -0.01
7 Nd 0.000 0.000 0.318  0.01
8 Nd 0.250 0.750 0.808  -0.01
9 Nd 0.750 0.250 0.566  0.00
10 Nd 0.500 0.500 0.318  0.01
11 Nd 0.250 0.250 0.146  0.01
12 Nd 0.750 0.750 0.854  0.01
13 Nd 0.250 0.250 0.580  0.00
14 Nd 0.750 0.250 0.434  0.00
15 Nd 0.000 0.000 0.682  0.01
16 Nd 0.250 0.250 0.420  0.00
17 Nd 0.250 0.250 0.854  0.01
18 Nd 0.750 0.750 0.420  0.00
19 Nd 0.750 0.750 0.580  0.00
20 Nd 0.000 0.000 0.066  0.01
21 Nd 0.250 0.750 0.566  0.00
22 Nd 0.500 0.500 0.682  0.01
23 Nd 0.750 0.250 0.192  -0.01
24 Nd 0.500 0.500 0.066  0.01
25 Nd 0.250 0.750 0.434  0.00
26 Nd 0.750 0.250 0.808  -0.01
27 Y 0.500 0.000 0.285  0.00
28 Y 0.000 0.500 0.285  0.00
29 Y 0.000 0.500 0.715  0.00
30 Y 0.500 0.000 0.715  0.00